(1)
! Ac2H2SeBr, relaxed, DFT PBE; values from VASP
&SYSTEM
  ibrav = 0, nat = 6, ntyp = 4
/
ATOMIC_SPECIES
Ac 227.00 Ac.upf
H 1.01 H.upf
Se 78.96 Se.upf
Br 79.90 Br.upf
ATOMIC_POSITIONS crystal
Ac 0.333 0.667 0.277
Ac 0.667 0.333 0.723
H 0.333 0.667 0.759
H 0.667 0.333 0.241
Se 0.000 0.000 0.500
Br 0.000 0.000 0.000
CELL_PARAMETERS angstrom
4.253 0.000 0.000
-2.126 3.683 0.000
0.000 0.000 8.832
! VASP energy in eV/atom: -4.624
! Crystal system: trigonal
! DOS(E_F) in states/eV/f.u.: 2.39

(2)
! CaLa2Pm6Pr3, relaxed, DFT PBE; values from VASP
&SYSTEM
  ibrav = 0, nat = 12, ntyp = 4
/
ATOMIC_SPECIES
Ca 40.08 Ca.upf
La 138.91 La.upf
Pm 145.00 Pm.upf
Pr 140.91 Pr.upf
ATOMIC_POSITIONS crystal
Ca 0.000 0.000 0.000
La 0.333 0.667 0.000
La 0.667 0.333 0.000
Pm 0.085 0.423 0.253
Pm 0.253 0.253 0.747
Pm 0.423 0.085 0.253
Pm 0.577 0.915 0.747
Pm 0.747 0.747 0.253
Pm 0.915 0.577 0.747
Pr 0.166 0.834 0.500
Pr 0.500 0.500 0.500
Pr 0.834 0.166 0.500
CELL_PARAMETERS angstrom
3.206 -5.556 0.000
3.206 5.556 0.000
-2.156 0.000 12.056
! VASP energy in eV/atom: -4.524
! Crystal system: monoclinic
! DOS(E_F) in states/eV/f.u.: 18.78
! Calculated formation energy in eV per atom: 0.035